Record 1
# SmTh2Mg PBE-GGA relaxed
# Offset from the most stable computed form in eV/atom: 0.037
data_SmTh2Mg
_chemical_formula_sum 'Sm1 Th2 Mg1'
_cell_length_a 3.508
_cell_length_b 3.508
_cell_length_c 10.051
_cell_angle_alpha 90.00
_cell_angle_beta 90.00
_cell_angle_gamma 90.00
_symmetry_space_group_name_H-M 'P 4/m m m'
_symmetry_Int_Tables_number 123
_symmetry_space_group_name_Hall '-P 4 2'
loop_
_atom_site_label
_atom_site_type_symbol
_atom_site_fract_x
_atom_site_fract_y
_atom_site_fract_z
Sm1 Sm 0.000 0.000 0.000
Th1 Th 0.500 0.500 0.262
Mg1 Mg 0.000 0.000 0.500

Record 2
The following is a DFT calculation (PBE-GGA) of a relaxed Zr2ZnFe crystal.

CIF file:
```
data_Zr2ZnFe
_chemical_formula_sum 'Zr2 Zn1 Fe1'
_cell_length_a 3.266
_cell_length_b 3.254
_cell_length_c 6.581
_cell_angle_alpha 90.00
_cell_angle_beta 90.25
_cell_angle_gamma 90.00
_symmetry_space_group_name_H-M 'P 1 2/m 1'
_symmetry_Int_Tables_number 10
loop_
_symmetry_equiv_pos_as_xyz
'x,y,z'
'-x,-y,-z'
'-x,y,-z'
'x,-y,z'
loop_
_atom_site_label
_atom_site_type_symbol
_atom_site_fract_x
_atom_site_fract_y
_atom_site_fract_z
Zr1 Zr 0.003 0.000 0.265
Zn1 Zn 0.500 0.500 0.000
Fe1 Fe 0.500 0.500 0.500
```

| no. | N(E_F) (states/eV/f.u.) | energy relative to the elements (eV per formula unit) | total magnetic moment (μB/cell) |
| --- | --- | --- | --- |
| 1 | 5.28 | 0.40 | 0.00 |
| 2 | 3.11 | -0.86 | 0.48 |